No. 1
The following is a PBE-GGA calculation of La12SmIn4O3 after structural relaxation, from Alexandria via LeMat-Bulk.

Structure (POSCAR):
```
La12SmIn4O3
1.0
9.022 0.000 0.000
-3.007 8.506 0.000
-3.007 -4.253 7.366
La O In Sm
12 3 4 1
Direct
0.729 0.000 0.729 La
0.250 0.750 0.500 La
0.750 0.500 0.250 La
0.271 0.000 0.271 La
0.000 0.729 0.729 La
0.729 0.729 0.000 La
0.500 0.750 0.250 La
0.500 0.250 0.750 La
0.000 0.271 0.271 La
0.750 0.250 0.500 La
0.271 0.271 0.000 La
0.250 0.500 0.750 La
0.000 0.500 0.500 O
0.500 0.500 0.000 O
0.500 0.000 0.500 O
0.500 0.000 0.000 In
0.000 0.000 0.500 In
0.500 0.500 0.500 In
0.000 0.500 0.000 In
0.000 0.000 0.000 Sm
```

Symmetry = No. 229
Total magnetic moment = 0.98 μB/cell
N(E_F) = 21.8 states/eV/f.u.
Raw formation energy = -895 meV per atom

=====

No. 2
The following is a PBE-GGA calculation of LaSm12In4O3 after structural relaxation, from Alexandria via LeMat-Bulk.

Structure (POSCAR):
```
LaSm12In4O3
1.0
-1.117 8.607 1.153
-1.492 -4.174 7.550
8.208 -1.552 -2.620
Sm In La O
12 4 1 3
Direct
0.750 0.500 0.250 Sm
0.273 0.273 0.000 Sm
0.750 0.250 0.500 Sm
0.500 0.250 0.750 Sm
0.250 0.500 0.750 Sm
0.727 0.727 0.000 Sm
0.000 0.727 0.727 Sm
0.727 0.000 0.727 Sm
0.000 0.273 0.273 Sm
0.250 0.750 0.500 Sm
0.500 0.750 0.250 Sm
0.273 0.000 0.273 Sm
0.500 0.000 0.000 In
0.000 0.000 0.500 In
0.500 0.500 0.500 In
0.000 0.500 0.000 In
0.000 0.000 0.000 La
0.500 0.500 0.000 O
0.500 0.000 0.500 O
0.000 0.500 0.500 O
```

Symmetry = No. 229
Total magnetic moment = 0.00 μB/cell
N(E_F) = 17.3 states/eV/f.u.
Raw formation energy = -814 meV per atom

=====

No. 3
The following is a PBE-GGA calculation of La4InSnO after structural relaxation, from Alexandria via LeMat-Bulk.

Structure (POSCAR):
```
La4InSnO
1.0
-0.301 -6.845 -0.790
6.437 -0.556 2.363
-2.964 2.602 8.688
O La In Sn
2 8 2 2
Direct
0.229 0.750 0.458 O
0.771 0.250 0.542 O
0.433 0.750 0.867 La
0.078 0.750 0.156 La
0.922 0.250 0.844 La
0.000 0.500 0.500 La
0.500 0.000 0.500 La
0.000 0.000 0.500 La
0.567 0.250 0.133 La
0.500 0.500 0.500 La
0.614 0.750 0.229 In
0.386 0.250 0.771 In
0.889 0.750 0.778 Sn
0.111 0.250 0.222 Sn
```

Symmetry = No. 63
Total magnetic moment = 0.80 μB/cell
N(E_F) = 6.0 states/eV/f.u.
Raw formation energy = -1203 meV per atom

=====

No. 4
The following is a PBE-GGA calculation of La2InSnO after structural relaxation, from Alexandria via LeMat-Bulk.

Structure (POSCAR):
```
La2InSnO
1.0
6.075 0.000 0.000
0.000 5.220 0.000
0.000 0.000 6.075
In Sn La O
1 1 2 1
Direct
0.000 0.500 0.000 In
0.000 0.000 0.000 Sn
0.500 0.000 0.000 La
0.000 0.000 0.500 La
0.500 0.500 0.500 O
```

Symmetry = No. 123
Total magnetic moment = 0.00 μB/cell
N(E_F) = 6.4 states/eV/f.u.
Raw formation energy = 350 meV per atom

=====

No. 5
The following is a PBE-GGA calculation of SrLaInO4 after structural relaxation, from Alexandria via LeMat-Bulk.

Structure (POSCAR):
```
SrLaInO4
1.0
6.053 0.000 0.000
0.000 5.923 0.000
0.000 0.000 12.564
O In Sr La
16 4 4 4
Direct
0.458 0.792 0.468 O
0.779 0.100 0.325 O
0.948 0.195 0.036 O
0.306 0.916 0.170 O
0.221 0.100 0.825 O
0.052 0.695 0.964 O
0.306 0.416 0.330 O
0.052 0.195 0.536 O
0.694 0.916 0.670 O
0.948 0.695 0.464 O
0.221 0.600 0.675 O
0.542 0.292 0.532 O
0.779 0.600 0.175 O
0.694 0.416 0.830 O
0.542 0.792 0.968 O
0.458 0.292 0.032 O
0.246 0.998 0.000 In
0.754 0.998 0.500 In
0.754 0.498 0.000 In
0.246 0.498 0.500 In
0.200 0.009 0.351 Sr
0.800 0.009 0.851 Sr
0.800 0.509 0.649 Sr
0.200 0.509 0.149 Sr
0.687 0.490 0.353 La
0.313 0.490 0.853 La
0.687 0.990 0.147 La
0.313 0.990 0.647 La
```

Symmetry = No. 29
Total magnetic moment = 0.00 μB/cell
N(E_F) = 0.0 states/eV/f.u.
Raw formation energy = -2568 meV per atom

=====

No. 6
The following is a PBE-GGA calculation of SrLa2InO after structural relaxation, from Alexandria via LeMat-Bulk.

Structure (POSCAR):
```
SrLa2InO
1.0
5.098 0.000 0.000
0.000 5.098 0.000
0.000 0.000 5.195
La In Sr O
2 1 1 1
Direct
0.000 0.500 0.000 La
0.500 0.000 0.000 La
0.500 0.500 0.500 In
0.000 0.000 0.500 Sr
0.000 0.000 0.000 O
```

Symmetry = No. 123
Total magnetic moment = 0.00 μB/cell
N(E_F) = 2.5 states/eV/f.u.
Raw formation energy = -1365 meV per atom

=====

No. 7
The following is a PBE-GGA calculation of LaTaInO6 after structural relaxation, from Alexandria via LeMat-Bulk.

Structure (POSCAR):
```
LaTaInO6
1.0
5.050 0.000 0.000
0.000 5.050 0.000
0.000 0.000 10.297
La O In Ta
2 12 2 2
Direct
0.500 0.500 0.496 La
0.000 0.000 0.996 La
0.171 0.829 0.490 O
0.305 0.305 0.695 O
0.281 0.281 0.319 O
0.219 0.781 0.819 O
0.329 0.329 0.990 O
0.671 0.671 0.990 O
0.781 0.219 0.819 O
0.829 0.171 0.490 O
0.805 0.195 0.195 O
0.695 0.695 0.695 O
0.719 0.719 0.319 O
0.195 0.805 0.195 O
0.000 0.000 0.669 In
0.500 0.500 0.169 In
0.500 0.500 0.827 Ta
0.000 0.000 0.327 Ta
```

Symmetry = No. 102
Total magnetic moment = 1.99 μB/cell
N(E_F) = 5.1 states/eV/f.u.
Raw formation energy = -2403 meV per atom

=====

No. 8
The following is a PBE-GGA calculation of LaTb2InO after structural relaxation, from Alexandria via LeMat-Bulk.

Structure (POSCAR):
```
LaTb2InO
1.0
-2.759 -3.839 -1.754
3.050 -0.484 -3.739
2.678 -3.107 2.587
O Tb La In
1 2 1 1
Direct
0.000 0.000 0.000 O
0.000 0.500 0.000 Tb
0.000 0.000 0.500 Tb
0.500 0.000 0.000 La
0.500 0.500 0.500 In
```

Symmetry = No. 123
Total magnetic moment = 0.00 μB/cell
N(E_F) = 1.8 states/eV/f.u.
Raw formation energy = -1412 meV per atom

=====

No. 9
The following is a PBE-GGA calculation of La6In2TcO after structural relaxation, from Alexandria via LeMat-Bulk.

Structure (POSCAR):
```
La6In2TcO
1.0
7.564 0.000 0.000
0.000 7.579 0.000
0.000 0.000 10.602
La In Tc O
12 4 2 2
Direct
0.000 0.765 0.757 La
0.237 0.501 0.000 La
0.737 0.499 0.500 La
0.763 0.501 0.000 La
0.500 0.235 0.743 La
0.750 0.985 0.000 La
0.750 0.015 0.500 La
0.000 0.765 0.243 La
0.263 0.499 0.500 La
0.250 0.015 0.500 La
0.250 0.985 0.000 La
0.500 0.235 0.257 La
0.500 0.753 0.752 In
0.500 0.753 0.248 In
0.000 0.247 0.748 In
0.000 0.247 0.252 In
0.500 0.302 0.000 Tc
0.000 0.698 0.500 Tc
0.000 0.738 0.000 O
0.500 0.262 0.500 O
```

Symmetry = No. 59
Total magnetic moment = 0.00 μB/cell
N(E_F) = 7.1 states/eV/f.u.
Raw formation energy = -695 meV per atom

=====

No. 10
The following is a PBE-GGA calculation of LaIn2TcO8 after structural relaxation, from Alexandria via LeMat-Bulk.

Structure (POSCAR):
```
LaIn2TcO8
1.0
-2.353 2.053 3.884
-0.294 -4.467 2.162
5.977 1.082 3.049
O Tc In La
8 1 2 1
Direct
0.716 0.719 0.000 O
0.319 0.316 0.500 O
0.815 0.187 0.198 O
0.185 0.813 0.198 O
0.815 0.187 0.802 O
0.681 0.684 0.500 O
0.284 0.281 0.000 O
0.185 0.813 0.802 O
0.000 0.000 0.000 Tc
0.500 0.500 0.246 In
0.500 0.500 0.754 In
0.000 0.000 0.500 La
```

Symmetry = No. 10
Total magnetic moment = 0.00 μB/cell
N(E_F) = 1.2 states/eV/f.u.
Raw formation energy = -1750 meV per atom

=====

No. 11
The following is a PBE-GGA calculation of LaInTcO6 after structural relaxation, from Alexandria via LeMat-Bulk.

Structure (POSCAR):
```
LaInTcO6
1.0
5.451 0.000 0.000
2.726 4.721 0.000
0.000 0.000 5.090
O In La Tc
6 1 1 1
Direct
0.620 0.347 0.717 O
0.620 0.033 0.283 O
0.347 0.033 0.717 O
0.033 0.347 0.283 O
0.347 0.620 0.283 O
0.033 0.620 0.717 O
0.667 0.667 0.500 In
0.000 0.000 0.000 La
0.333 0.333 0.500 Tc
```

Symmetry = No. 149
Total magnetic moment = 1.01 μB/cell
N(E_F) = 3.7 states/eV/f.u.
Raw formation energy = -1943 meV per atom

=====

No. 12
The following is a PBE-GGA calculation of LaInTeO2 after structural relaxation, from Alexandria via LeMat-Bulk.

Structure (POSCAR):
```
LaInTeO2
1.0
5.797 0.000 0.000
0.000 5.593 0.000
0.000 -2.796 6.417
Te In O La
2 2 4 2
Direct
0.250 0.262 0.524 Te
0.750 0.738 0.476 Te
0.250 0.924 0.848 In
0.750 0.076 0.152 In
0.000 0.757 0.000 O
0.500 0.757 0.000 O
0.500 0.243 0.000 O
0.000 0.243 0.000 O
0.250 0.598 0.196 La
0.750 0.402 0.804 La
```

Symmetry = No. 63
Total magnetic moment = 0.00 μB/cell
N(E_F) = 1.4 states/eV/f.u.
Raw formation energy = -1909 meV per atom

=====

Copy entry 3 word for word.
The following is a PBE-GGA calculation of La4InSnO after structural relaxation, from Alexandria via LeMat-Bulk.

Structure (POSCAR):
```
La4InSnO
1.0
-0.301 -6.845 -0.790
6.437 -0.556 2.363
-2.964 2.602 8.688
O La In Sn
2 8 2 2
Direct
0.229 0.750 0.458 O
0.771 0.250 0.542 O
0.433 0.750 0.867 La
0.078 0.750 0.156 La
0.922 0.250 0.844 La
0.000 0.500 0.500 La
0.500 0.000 0.500 La
0.000 0.000 0.500 La
0.567 0.250 0.133 La
0.500 0.500 0.500 La
0.614 0.750 0.229 In
0.386 0.250 0.771 In
0.889 0.750 0.778 Sn
0.111 0.250 0.222 Sn
```

Symmetry = No. 63
Total magnetic moment = 0.80 μB/cell
N(E_F) = 6.0 states/eV/f.u.
Raw formation energy = -1203 meV per atom

=====

- Among the records above, which one has the lowest N(E_F)?
  SrLaInO4

=====

Please write out number 3 again, unchanged.
The following is a PBE-GGA calculation of La4InSnO after structural relaxation, from Alexandria via LeMat-Bulk.

Structure (POSCAR):
```
La4InSnO
1.0
-0.301 -6.845 -0.790
6.437 -0.556 2.363
-2.964 2.602 8.688
O La In Sn
2 8 2 2
Direct
0.229 0.750 0.458 O
0.771 0.250 0.542 O
0.433 0.750 0.867 La
0.078 0.750 0.156 La
0.922 0.250 0.844 La
0.000 0.500 0.500 La
0.500 0.000 0.500 La
0.000 0.000 0.500 La
0.567 0.250 0.133 La
0.500 0.500 0.500 La
0.614 0.750 0.229 In
0.386 0.250 0.771 In
0.889 0.750 0.778 Sn
0.111 0.250 0.222 Sn
```

Symmetry = No. 63
Total magnetic moment = 0.80 μB/cell
N(E_F) = 6.0 states/eV/f.u.
Raw formation energy = -1203 meV per atom